VASP calculation (meta-GGA SCAN) on a PBEsol-optimized structure of Zr2ScTl.

Summary:
formation energy from the elements: -1.094 eV/f.u.
offset from the most stable computed form: 0 meV/atom

Cell: 4.293 4.293 9.398 Å, 90.00 90.00 90.00°
Space group I4/mmm (No. 139)
Inequivalent atoms, fractional coordinates:
Zr1 0.000 0.500 0.250 (multiplicity 4)
Sc1 0.000 0.000 0.000 (multiplicity 2)
Tl1 0.000 0.000 0.500 (multiplicity 2)

VASP calculation (meta-GGA SCAN) on a PBEsol-optimized structure of Zr2ScTl.

Summary:
formation energy from the elements: -0.881 eV/f.u.
offset from the most stable computed form: 53 meV/atom

Cell: 4.335 4.335 9.240 Å, 90.00 90.00 90.00°
Space group I-4m2 (No. 119)
Inequivalent atoms, fractional coordinates:
Zr1 0.000 0.000 0.000 (multiplicity 2)
Zr2 0.000 0.500 0.250 (multiplicity 2)
Sc1 0.000 0.000 0.500 (multiplicity 2)
Tl1 0.000 0.500 0.750 (multiplicity 2)

VASP calculation (meta-GGA SCAN) on a PBEsol-optimized structure of Zr2ScTl.

Summary:
formation energy from the elements: -1.014 eV/f.u.
offset from the most stable computed form: 20 meV/atom

Cell: 4.375 4.375 4.495 Å, 90.00 90.00 90.00°
Space group P4/mmm (No. 123)
Inequivalent atoms, fractional coordinates:
Zr1 0.000 0.500 0.000 (multiplicity 2)
Sc1 0.000 0.000 0.500 (multiplicity 1)
Tl1 0.500 0.500 0.500 (multiplicity 1)

VASP calculation (meta-GGA SCAN) on a PBEsol-optimized structure of TmScZn2.

Summary:
formation energy from the elements: -1.811 eV/f.u.

Cell: 6.762 6.762 6.762 Å, 90.00 90.00 90.00°
Space group Fm-3m (No. 225)
Inequivalent atoms, fractional coordinates:
Tm1 0.000 0.000 0.000 (multiplicity 4)
Sc1 0.000 0.000 0.500 (multiplicity 4)
Zn1 0.250 0.250 0.250 (multiplicity 8)

- Which formula does entry 3 have?
  Zr2ScTl

- What is the formation energy from the elements in the second record?
  -0.881 eV/f.u.